1.
Compound: MgRe
Source: Alexandria
Functional: PBE
Structure: relaxed

Uncorrected energy ... -6.366 eV per atom

Unit cell a=3.527 b=3.527 c=6.959 alpha=90.00 beta=90.00 gamma=90.00
Space group P4/nmm (No. 129, origin choice 2)
Inequivalent atoms, fractional coordinates:
1 Mg 0.250 0.250 0.163 (multiplicity 2)
2 Re 0.250 0.750 0.500 (multiplicity 2)

2.
Compound: Nd2GeCl
Source: Alexandria
Functional: PBE
Structure: relaxed

Uncorrected formation energy ... -1.257 eV per atom
Uncorrected energy ... -5.257 eV per atom

Unit cell a=4.2881 b=4.2881 c=20.6226 alpha=90.00 beta=90.00 gamma=120.00
Space group R-3m (No. 166, hexagonal axes)
Inequivalent atoms, fractional coordinates:
1 Nd 0.0000 0.0000 0.2429 (multiplicity 6)
2 Ge 0.0000 0.0000 0.5000 (multiplicity 3)
3 Cl 0.0000 0.0000 0.0000 (multiplicity 3)

3.
Compound: SrTe2F
Source: Alexandria
Functional: PBE
Structure: relaxed

Uncorrected formation energy ... -1.519 eV per atom
Uncorrected energy ... -3.978 eV per atom

Unit cell a=4.273 b=4.273 c=24.950 alpha=90.00 beta=90.00 gamma=90.00
Space group I-42d (No. 122)
Inequivalent atoms, fractional coordinates:
1 Sr 0.000 0.000 0.000 (multiplicity 4)
2 Te 0.249 0.250 0.625 (multiplicity 8)
3 F 0.000 0.000 0.500 (multiplicity 4)

4.
Compound: CeEr2Rh9
Source: Alexandria
Functional: PBE
Structure: relaxed

Uncorrected energy ... -7.360 eV per atom

Unit cell a=5.2500 b=5.2500 c=26.3086 alpha=90.00 beta=90.00 gamma=120.00
Space group R-3m (No. 166, hexagonal axes)
Inequivalent atoms, fractional coordinates:
1 Ce 0.0000 0.0000 0.0000 (multiplicity 3)
2 Er 0.0000 0.0000 0.1396 (multiplicity 6)
3 Rh 0.0000 0.0000 0.3332 (multiplicity 6)
4 Rh 0.0000 0.0000 0.5000 (multiplicity 3)
5 Rh 0.0011 0.5006 0.9164 (multiplicity 18)

5.
Compound: Ir2AuSe
Source: Alexandria
Functional: PBE
Structure: relaxed

Uncorrected formation energy ... 0.407 eV per atom
Uncorrected energy ... -5.714 eV per atom

Unit cell a=2.9608 b=2.9608 c=25.4600 alpha=90.00 beta=90.00 gamma=120.00
Space group R-3m (No. 166, hexagonal axes)
Inequivalent atoms, fractional coordinates:
1 Ir 0.0000 0.0000 0.2431 (multiplicity 6)
2 Au 0.0000 0.0000 0.0000 (multiplicity 3)
3 Se 0.0000 0.0000 0.5000 (multiplicity 3)

6.
Compound: LaAlZn2Ir
Source: Alexandria
Functional: PBE
Structure: relaxed

Uncorrected energy ... -4.425 eV per atom

Unit cell a=4.835 b=4.835 c=4.686 alpha=90.00 beta=90.00 gamma=90.00
Space group P4/mmm (No. 123)
Inequivalent atoms, fractional coordinates:
1 La 0.000 0.000 0.000 (multiplicity 1)
2 Al 0.500 0.500 0.000 (multiplicity 1)
3 Zn 0.000 0.500 0.500 (multiplicity 2)
4 Ir 0.500 0.500 0.500 (multiplicity 1)

7.
Compound: TlP2Br
Source: Alexandria
Functional: PBE
Structure: relaxed

Uncorrected formation energy ... -0.072 eV per atom
Uncorrected energy ... -3.787 eV per atom

Unit cell a=3.287 b=4.441 c=8.667 alpha=88.44 beta=84.90 gamma=88.95
Space group P1 (No. 1)
Inequivalent atoms, fractional coordinates:
1 Tl 0.000 0.000 0.000 (multiplicity 1)
2 P 0.443 0.760 0.576 (multiplicity 1)
3 P 0.918 0.522 0.684 (multiplicity 1)
4 Br 0.459 0.479 0.192 (multiplicity 1)

8.
Compound: LiGe2Rh2
Source: Alexandria
Functional: PBE
Structure: relaxed

Uncorrected energy ... -5.691 eV per atom

Unit cell a=4.111 b=4.111 c=10.225 alpha=90.00 beta=90.00 gamma=90.00
Space group I4/mmm (No. 139)
Inequivalent atoms, fractional coordinates:
1 Li 0.000 0.000 0.000 (multiplicity 2)
2 Ge 0.000 0.000 0.378 (multiplicity 4)
3 Rh 0.000 0.500 0.250 (multiplicity 4)

9.
Compound: Th2ScSe6
Source: Alexandria
Functional: PBE
Structure: relaxed

Uncorrected formation energy ... -1.447 eV per atom
Uncorrected energy ... -6.122 eV per atom

Unit cell a=6.679 b=6.679 c=12.777 alpha=90.00 beta=90.00 gamma=90.00
Space group P4_2/mnm (No. 136)
Inequivalent atoms, fractional coordinates:
1 Th 0.000 0.000 0.170 (multiplicity 4)
2 Sc 0.000 0.000 0.500 (multiplicity 2)
3 Se 0.195 0.195 0.346 (multiplicity 8)
4 Se 0.207 0.207 0.000 (multiplicity 4)

10.
Compound: Nd5HoSn3
Source: Alexandria
Functional: PBE
Structure: relaxed

Uncorrected energy ... -5.049 eV per atom

Unit cell a=9.6139 b=9.6139 c=6.7404 alpha=90.00 beta=90.00 gamma=120.00
Space group P6_3/mcm (No. 193)
Inequivalent atoms, fractional coordinates:
1 Nd 0.0000 0.3311 0.2500 (multiplicity 6)
2 Nd 0.3333 0.6667 0.0000 (multiplicity 4)
3 Ho 0.0000 0.0000 0.0000 (multiplicity 2)
4 Sn 0.0000 0.3329 0.7500 (multiplicity 6)

11.
Compound: CeDyCd
Source: Alexandria
Functional: PBE
Structure: relaxed

Uncorrected energy ... -3.776 eV per atom

Unit cell a=5.3903 b=5.3903 c=3.0768 alpha=90.00 beta=90.00 gamma=120.00
Space group P3m1 (No. 156)
Inequivalent atoms, fractional coordinates:
1 Ce 0.0000 0.0000 0.0000 (multiplicity 1)
2 Dy 0.3333 0.6667 0.0045 (multiplicity 1)
3 Cd 0.6667 0.3333 0.5015 (multiplicity 1)

12.
Compound: KSr3Ir
Source: Alexandria
Functional: PBE
Structure: relaxed

Uncorrected energy ... -3.076 eV per atom

Unit cell a=11.348 b=6.909 c=11.756 alpha=90.00 beta=98.22 gamma=90.00
Space group C2/m (No. 12)
Inequivalent atoms, fractional coordinates:
1 K 0.182 0.000 0.053 (multiplicity 4)
2 Sr 0.047 0.500 0.270 (multiplicity 4)
3 Sr 0.085 0.000 0.676 (multiplicity 4)
4 Sr 0.246 0.000 0.421 (multiplicity 4)
5 Ir 0.000 0.313 0.500 (multiplicity 4)